Record 1
# BaAlAgSn2 GGA-PBE relaxed
# Crystal system: tetragonal
# Total energy: -3.649 eV/atom
# E_form: -0.344 eV per atom
data_BaAlAgSn2
_chemical_formula_sum 'Ba2 Al2 Ag2 Sn4'
_symmetry_space_group_name_H-M 'I -4 m 2'
_symmetry_Int_Tables_number 119
_symmetry_space_group_name_Hall 'I -4 -2'
_cell_length_a 4.8747
_cell_length_b 4.8747
_cell_length_c 11.6630
_cell_angle_alpha 90.00
_cell_angle_beta 90.00
_cell_angle_gamma 90.00
loop_
_atom_site_label
_atom_site_type_symbol
_atom_site_fract_x
_atom_site_fract_y
_atom_site_fract_z
Ba1 Ba 0.0000 0.0000 0.0000
Al1 Al 0.0000 0.5000 0.2500
Ag1 Ag 0.0000 0.5000 0.7500
Sn1 Sn 0.0000 0.0000 0.3746

Record 2
# PPdS2I GGA-PBE relaxed
# Crystal system: tetragonal
# Total energy: -3.417 eV/atom
# Uncorrected formation energy: 0.6646 eV/atom
# Energy above the most stable polymorph in this dataset: 0 meV per atom
data_PPdS2I
_chemical_formula_sum 'P1 Pd1 S2 I1'
_symmetry_space_group_name_H-M 'P 4/m m m'
_symmetry_Int_Tables_number 123
_symmetry_space_group_name_Hall '-P 4 2'
_cell_length_a 4.7732
_cell_length_b 4.7732
_cell_length_c 4.7223
_cell_angle_alpha 90.00
_cell_angle_beta 90.00
_cell_angle_gamma 90.00
loop_
_atom_site_label
_atom_site_type_symbol
_atom_site_fract_x
_atom_site_fract_y
_atom_site_fract_z
P1 P 0.0000 0.0000 0.0000
Pd1 Pd 0.0000 0.0000 0.5000
S1 S 0.0000 0.5000 0.5000
I1 I 0.5000 0.5000 0.0000

Record 3
# MgSn2Sb2Pd7 GGA-PBE relaxed
# Crystal system: monoclinic
# Total energy: -4.910 eV/atom
# Uncorrected formation energy: -0.3933 eV/atom
data_MgSn2Sb2Pd7
_chemical_formula_sum 'Mg2 Sn4 Sb4 Pd14'
_symmetry_space_group_name_H-M 'C 1 2/m 1'
_symmetry_Int_Tables_number 12
_symmetry_space_group_name_Hall '-C 2y'
_cell_length_a 5.5976
_cell_length_b 5.6469
_cell_length_c 15.3758
_cell_angle_alpha 90.00
_cell_angle_beta 95.26
_cell_angle_gamma 90.00
loop_
_atom_site_label
_atom_site_type_symbol
_atom_site_fract_x
_atom_site_fract_y
_atom_site_fract_z
Mg1 Mg 0.0000 0.0000 0.0000
Sn1 Sn 0.1286 0.0000 0.4139
Sb1 Sb 0.0645 0.5000 0.2446
Pd1 Pd 0.0000 0.5000 0.0000
Pd2 Pd 0.1170 0.5000 0.4184
Pd3 Pd 0.2154 0.2504 0.8681

Record 4
# ScPtPb2 GGA-PBE relaxed
# Crystal system: orthorhombic
# Total energy: -5.095 eV/atom
# E_form: -0.148 eV per atom
# Energy above the most stable polymorph in this dataset: 349 meV per atom
data_ScPtPb2
_chemical_formula_sum 'Sc2 Pt2 Pb4'
_symmetry_space_group_name_H-M 'C m m m'
_symmetry_Int_Tables_number 65
_symmetry_space_group_name_Hall '-C 2 2'
_cell_length_a 4.6671
_cell_length_b 5.7695
_cell_length_c 6.9212
_cell_angle_alpha 90.00
_cell_angle_beta 90.00
_cell_angle_gamma 90.00
loop_
_atom_site_label
_atom_site_type_symbol
_atom_site_fract_x
_atom_site_fract_y
_atom_site_fract_z
Sc1 Sc 0.0000 0.0000 0.0000
Pt1 Pt 0.0000 0.0000 0.5000
Pb1 Pb 0.0000 0.5000 0.2701

Record 5
# Pm2YHo5Er GGA-PBE relaxed
# Crystal system: tetragonal
# Total energy: -4.549 eV/atom
# E_form: 0.275 eV per atom
data_Pm2YHo5Er
_chemical_formula_sum 'Pm8 Y4 Ho20 Er4'
_symmetry_space_group_name_H-M 'I 4/m c m'
_symmetry_Int_Tables_number 140
_symmetry_space_group_name_Hall '-I 4 2c'
_cell_length_a 8.6006
_cell_length_b 8.6006
_cell_length_c 15.6218
_cell_angle_alpha 90.00
_cell_angle_beta 90.00
_cell_angle_gamma 90.00
loop_
_atom_site_label
_atom_site_type_symbol
_atom_site_fract_x
_atom_site_fract_y
_atom_site_fract_z
Pm1 Pm 0.1175 0.3825 0.0000
Y1 Y 0.0000 0.0000 0.2500
Ho1 Ho 0.0000 0.0000 0.0000
Ho2 Ho 0.2122 0.2878 0.3602
Er1 Er 0.0000 0.5000 0.2500

Record 6
# TlWAu GGA-PBE relaxed
# Crystal system: monoclinic
# Total energy: -5.538 eV/atom
# E_form: 0.661 eV per atom
# Energy above the most stable polymorph in this dataset: 0 meV per atom
data_TlWAu
_chemical_formula_sum 'Tl2 W2 Au2'
_symmetry_space_group_name_H-M 'C 1 m 1'
_symmetry_Int_Tables_number 8
_symmetry_space_group_name_Hall 'C -2y'
_cell_length_a 13.8328
_cell_length_b 2.9024
_cell_length_c 2.9341
_cell_angle_alpha 90.00
_cell_angle_beta 90.17
_cell_angle_gamma 90.00
loop_
_atom_site_label
_atom_site_type_symbol
_atom_site_fract_x
_atom_site_fract_y
_atom_site_fract_z
Tl1 Tl 0.0000 0.0000 0.0000
W1 W 0.1675 0.5000 0.5053
Au1 Au 0.3089 0.0000 0.0072

Record 7
# K7Rb4Na4 GGA-PBE relaxed
# Crystal system: tetragonal
# Total energy: -1.094 eV/atom
# E_form: 0.028 eV per atom
data_K7Rb4Na4
_chemical_formula_sum 'K28 Rb16 Na16'
_symmetry_space_group_name_H-M 'I 4/m m m'
_symmetry_Int_Tables_number 139
_symmetry_space_group_name_Hall '-I 4 2'
_cell_length_a 22.1285
_cell_length_b 22.1285
_cell_length_c 8.2780
_cell_angle_alpha 90.00
_cell_angle_beta 90.00
_cell_angle_gamma 90.00
loop_
_atom_site_label
_atom_site_type_symbol
_atom_site_fract_x
_atom_site_fract_y
_atom_site_fract_z
K1 K 0.0000 0.0000 0.2494
K2 K 0.0000 0.3017 0.0000
K3 K 0.0000 0.4047 0.5000
K4 K 0.2071 0.2071 0.5000
Rb1 Rb 0.0000 0.1973 0.5000
Rb2 Rb 0.1416 0.1416 0.0000
Na1 Na 0.1513 0.3487 0.2500

Record 8
# ScAu3 GGA-PBE relaxed
# Crystal system: tetragonal
# Total energy: -4.640 eV/atom
# E_form: -0.599 eV per atom
data_ScAu3
_chemical_formula_sum 'Sc2 Au6'
_symmetry_space_group_name_H-M 'I 4/m m m'
_symmetry_Int_Tables_number 139
_symmetry_space_group_name_Hall '-I 4 2'
_cell_length_a 4.2785
_cell_length_b 4.2785
_cell_length_c 8.0745
_cell_angle_alpha 90.00
_cell_angle_beta 90.00
_cell_angle_gamma 90.00
loop_
_atom_site_label
_atom_site_type_symbol
_atom_site_fract_x
_atom_site_fract_y
_atom_site_fract_z
Sc1 Sc 0.0000 0.0000 0.0000
Au1 Au 0.0000 0.0000 0.5000
Au2 Au 0.0000 0.5000 0.2500

Record 9
# Zr2CdTe2 GGA-PBE relaxed
# Crystal system: tetragonal
# Total energy: -5.405 eV/atom
# Uncorrected formation energy: -0.5461 eV/atom
data_Zr2CdTe2
_chemical_formula_sum 'Zr4 Cd2 Te4'
_symmetry_space_group_name_H-M 'P 4/m b m'
_symmetry_Int_Tables_number 127
_symmetry_space_group_name_Hall '-P 4 2ab'
_cell_length_a 8.0412
_cell_length_b 8.0412
_cell_length_c 3.7398
_cell_angle_alpha 90.00
_cell_angle_beta 90.00
_cell_angle_gamma 90.00
loop_
_atom_site_label
_atom_site_type_symbol
_atom_site_fract_x
_atom_site_fract_y
_atom_site_fract_z
Zr1 Zr 0.1446 0.3554 0.0000
Cd1 Cd 0.0000 0.0000 0.0000
Te1 Te 0.1484 0.6484 0.5000

Record 10
# SnB GGA-PBE relaxed
# Crystal system: monoclinic
# Total energy: -4.934 eV/atom
# E_form: 0.406 eV per atom
# Energy above the most stable polymorph in this dataset: 21 meV per atom
data_SnB
_chemical_formula_sum 'Sn2 B2'
_symmetry_space_group_name_H-M 'P 1 21/m 1'
_symmetry_Int_Tables_number 11
_symmetry_space_group_name_Hall '-P 2yb'
_cell_length_a 3.6117
_cell_length_b 3.1512
_cell_length_c 6.5789
_cell_angle_alpha 90.00
_cell_angle_beta 105.14
_cell_angle_gamma 90.00
loop_
_atom_site_label
_atom_site_type_symbol
_atom_site_fract_x
_atom_site_fract_y
_atom_site_fract_z
Sn1 Sn 0.1430 0.2500 0.2969
B1 B 0.4839 0.7500 0.9703

Record 11
# SbPCl8O GGA-PBE relaxed
# Crystal system: orthorhombic
# Total energy: -3.527 eV/atom
# Uncorrected formation energy: -0.8664 eV/atom
data_SbPCl8O
_chemical_formula_sum 'Sb4 P4 Cl32 O4'
_symmetry_space_group_name_H-M 'P n m a'
_symmetry_Int_Tables_number 62
_symmetry_space_group_name_Hall '-P 2ac 2n'
_cell_length_a 17.4407
_cell_length_b 8.6656
_cell_length_c 9.5154
_cell_angle_alpha 90.00
_cell_angle_beta 90.00
_cell_angle_gamma 90.00
loop_
_atom_site_label
_atom_site_type_symbol
_atom_site_fract_x
_atom_site_fract_y
_atom_site_fract_z
Sb1 Sb 0.1491 0.2500 0.0828
P1 P 0.0812 0.2500 0.7270
Cl1 Cl 0.0245 0.7500 0.3500
Cl2 Cl 0.0278 0.2500 0.1963
Cl3 Cl 0.1333 0.0672 0.6467
Cl4 Cl 0.1430 0.5226 0.0611
Cl5 Cl 0.2221 0.2500 0.2915
Cl6 Cl 0.2400 0.7500 0.4331
O1 O 0.0780 0.2500 0.8842

Record 12
# AcPaCd2O6 GGA-PBE relaxed
# Crystal system: trigonal
# Total energy: -7.032 eV/atom
# Uncorrected formation energy: -2.5137 eV/atom
data_AcPaCd2O6
_chemical_formula_sum 'Ac3 Pa3 Cd6 O18'
_symmetry_space_group_name_H-M 'R 3'
_symmetry_Int_Tables_number 146
_symmetry_space_group_name_Hall 'R 3'
_cell_length_a 5.9544
_cell_length_b 5.9544
_cell_length_c 15.9275
_cell_angle_alpha 90.00
_cell_angle_beta 90.00
_cell_angle_gamma 120.00
loop_
_atom_site_label
_atom_site_type_symbol
_atom_site_fract_x
_atom_site_fract_y
_atom_site_fract_z
Ac1 Ac 0.0000 0.0000 0.0000
Pa1 Pa 0.0000 0.0000 0.4898
Cd1 Cd 0.0000 0.0000 0.2742
Cd2 Cd 0.0000 0.0000 0.7833
O1 O 0.0149 0.7277 0.3992
O2 O 0.0243 0.3370 0.5570

In the order shown, the computed total magnetic moment values come out to 0.0000, 0.0000, 0.0000, 0.0000, 0.0000, 0.0000, 0.0000, 0.0000, 0.0000, 0.0000, 0.0000, 0.0000 μB/atom.